The following is a DFT calculation (PBE) of a geometry-optimized ThCdRe structure.

Computed properties:
E_form: -28 meV/atom
Space-group type: Cmcm, No. 63
Crystal system: orthorhombic
Total energy: -6.956 eV/atom

a b c (Å): 4.144 4.160 9.015
angles (deg): 76.66 90.00 90.00
Positions (direct):
Cd (0.250, 0.707, 0.587)
Cd (0.750, 0.293, 0.413)
Re (0.750, 0.462, 0.076)
Re (0.250, 0.538, 0.924)
Th (0.250, 0.903, 0.195)
Th (0.750, 0.097, 0.805)